Entry 1:
# CrHgPt6

A relaxed structure of CrHgPt6 (PBE, the Alexandria database).

a = 3.979 Å, b = 3.979 Å, c = 8.033 Å
α = 90.00°, β = 90.00°, γ = 90.00°
Site moments in Bohr magnetons follow the coordinates.
Atoms (fractional coordinates):
Pt  0.000  0.500  0.733  -0.10
Pt  0.500  0.500  0.000  -0.04
Pt  0.000  0.500  0.267  -0.10
Pt  0.500  0.000  0.733  -0.10
Pt  0.500  0.000  0.267  -0.10
Pt  0.500  0.500  0.500  -0.10
Cr  0.000  0.000  0.500  2.44
Hg  0.000  0.000  0.000  -0.01

Space group: P4/mmm
Energy of formation: -0.1270 eV per atom
Calculated volume: 127.20 Å³ per cell
Calculated total energy: -47.19 eV/cell
Fermi-level density of states: 10.75 states/eV/cell



Entry 2:
# Hg3As2

A relaxed structure of Hg3As2 (PBE, the Alexandria database).

a = 8.335 Å, b = 8.335 Å, c = 8.335 Å
α = 28.91°, β = 28.91°, γ = 28.91°
Atoms (fractional coordinates):
As  0.601  0.601  0.601
As  0.399  0.399  0.399
Hg  0.206  0.206  0.206
Hg  0.000  0.000  0.000
Hg  0.794  0.794  0.794

Space group: R-3m
Energy of formation: 0.2356 eV per atom
Polymorph energy (0 for the lowest one): 124 meV/atom
Calculated volume: 119.69 Å³ per cell
Calculated total energy: -9.03 eV/cell
Fermi-level density of states: 1.72 states/eV/cell



Entry 3:
# CrNiH2

A relaxed structure of CrNiH2 (PBE, the Alexandria database).

a = 3.501 Å, b = 3.501 Å, c = 3.501 Å
α = 60.00°, β = 60.00°, γ = 60.00°
Site moments in Bohr magnetons follow the coordinates.
Atoms (fractional coordinates):
Ni  0.500  0.500  0.500  0.36
H  0.250  0.250  0.250  -0.03
H  0.750  0.750  0.750  -0.03
Cr  0.000  0.000  0.000  2.70

Space group: Fm-3m
Polymorph energy (0 for the lowest one): 481 meV/atom
Calculated volume: 30.33 Å³ per cell
Calculated total energy: -20.29 eV/cell
Fermi-level density of states: 2.36 states/eV/cell



Entry 4:
# Na2Sn3Pd2

A relaxed structure of Na2Sn3Pd2 (PBE, the Alexandria database).

a = 4.412 Å, b = 5.879 Å, c = 7.672 Å
α = 115.44°, β = 90.00°, γ = 112.04°
Atoms (fractional coordinates):
Pd  0.882  0.765  0.787
Pd  0.118  0.235  0.213
Na  0.842  0.683  0.199
Na  0.158  0.317  0.801
Sn  0.369  0.739  0.543
Sn  0.631  0.261  0.457
Sn  0.500  0.000  0.000

Space group: C2/m
Energy of formation: -0.4027 eV per atom
Calculated volume: 163.46 Å³ per cell
Calculated total energy: -27.85 eV/cell
Fermi-level density of states: 2.57 states/eV/cell



Entry 5:
# BaPr3Co

A relaxed structure of BaPr3Co (PBE, the Alexandria database).

a = 5.659 Å, b = 5.659 Å, c = 5.659 Å
α = 90.00°, β = 90.00°, γ = 90.00°
Atoms (fractional coordinates):
Ba  0.500  0.500  0.500
Pr  0.500  0.000  0.000
Pr  0.000  0.000  0.500
Pr  0.000  0.500  0.000
Co  0.000  0.000  0.000

Space group: Pm-3m
Energy of formation: 0.0943 eV per atom
Calculated volume: 181.27 Å³ per cell
Calculated total energy: -22.90 eV/cell
Fermi-level density of states: 9.08 states/eV/cell



Entry 6:
# Ga3AgB

A relaxed structure of Ga3AgB (PBE, the Alexandria database).

a = 4.426 Å, b = 4.426 Å, c = 4.426 Å
α = 90.00°, β = 90.00°, γ = 90.00°
Atoms (fractional coordinates):
B  0.000  0.000  0.000
Ga  0.500  0.000  0.000
Ga  0.000  0.000  0.500
Ga  0.000  0.500  0.000
Ag  0.500  0.500  0.500

Space group: Pm-3m
Energy of formation: 0.4208 eV per atom
Polymorph energy (0 for the lowest one): 0 meV/atom
Calculated volume: 86.69 Å³ per cell
Calculated total energy: -16.51 eV/cell
Fermi-level density of states: 1.91 states/eV/cell



Entry 7:
# MgTeOs2

A relaxed structure of MgTeOs2 (PBE, the Alexandria database).

a = 2.971 Å, b = 2.971 Å, c = 8.346 Å
α = 90.00°, β = 90.00°, γ = 90.00°
Atoms (fractional coordinates):
Te  0.000  0.000  0.474
Mg  0.500  0.500  0.797
Os  0.000  0.000  0.021
Os  0.500  0.500  0.208

Space group: P4mm
Polymorph energy (0 for the lowest one): 87 meV/atom
Calculated volume: 73.67 Å³ per cell
Uncorrected formation energy: 0.354 eV/atom
Calculated total energy: -25.78 eV/cell
Fermi-level density of states: 4.20 states/eV/cell



Entry 8:
# ScCrAs2Se

A relaxed structure of ScCrAs2Se (PBE, the Alexandria database).

a = 5.067 Å, b = 5.067 Å, c = 4.993 Å
α = 90.00°, β = 90.00°, γ = 90.00°
Site moments in Bohr magnetons follow the coordinates.
Atoms (fractional coordinates):
Se  0.000  0.000  0.500  0.02
Cr  0.500  0.500  0.500  -0.44
As  0.500  0.000  0.000  -0.01
As  0.000  0.500  0.000  -0.01
Sc  0.000  0.000  0.000  0.00

Space group: P4/mmm
Polymorph energy (0 for the lowest one): 848 meV/atom
Calculated volume: 128.23 Å³ per cell
Uncorrected formation energy: 0.800 eV/atom
Calculated total energy: -24.74 eV/cell
Fermi-level density of states: 7.16 states/eV/cell



Entry 9:
# Cs6RbH8

A relaxed structure of Cs6RbH8 (PBE, the Alexandria database).

a = 4.778 Å, b = 10.764 Å, c = 10.764 Å
α = 120.00°, β = 90.00°, γ = 90.00°
Atoms (fractional coordinates):
Cs  0.236  0.320  0.884
Cs  0.236  0.116  0.436
Cs  0.764  0.884  0.564
Cs  0.764  0.680  0.116
Cs  0.764  0.436  0.320
Cs  0.236  0.564  0.680
H  0.268  0.266  0.282
H  0.732  0.282  0.016
H  0.257  0.667  0.333
H  0.743  0.333  0.667
H  0.268  0.718  0.984
H  0.268  0.016  0.734
H  0.732  0.984  0.266
H  0.732  0.734  0.718
Rb  0.500  0.000  0.000

Space group: P-3
Calculated volume: 479.42 Å³ per cell
Calculated total energy: -32.18 eV/cell
Fermi-level density of states: 10.17 states/eV/cell



Entry 10:
# CaPrPb

A relaxed structure of CaPrPb (PBE, the Alexandria database).

a = 5.384 Å, b = 5.384 Å, c = 5.384 Å
α = 60.00°, β = 60.00°, γ = 60.00°
Atoms (fractional coordinates):
Ca  0.500  0.500  0.500
Pr  0.000  0.000  0.000
Pb  0.250  0.250  0.250

Space group: F-43m
Energy of formation: -0.3582 eV per atom
Calculated volume: 110.38 Å³ per cell
Calculated total energy: -11.56 eV/cell
Fermi-level density of states: 2.62 states/eV/cell



Entry 11:
# RbCdInSb

A relaxed structure of RbCdInSb (PBE, the Alexandria database).

a = 4.046 Å, b = 4.046 Å, c = 8.200 Å
α = 90.05°, β = 89.95°, γ = 90.01°
Atoms (fractional coordinates):
Cd  0.646  0.354  0.448
Sb  0.146  0.854  0.299
In  0.147  0.853  0.658
Rb  0.646  0.354  0.984

Space group: P4mm
Calculated volume: 134.27 Å³ per cell
Uncorrected formation energy: -0.094 eV/atom
Calculated total energy: -9.12 eV/cell
Fermi-level density of states: 2.07 states/eV/cell



Entry 12:
# In3RuS

A relaxed structure of In3RuS (PBE, the Alexandria database).

a = 5.120 Å, b = 5.120 Å, c = 5.120 Å
α = 90.00°, β = 90.00°, γ = 90.00°
Atoms (fractional coordinates):
In  0.000  0.000  0.500
In  0.000  0.500  0.000
In  0.500  0.000  0.000
S  0.500  0.500  0.500
Ru  0.000  0.000  0.000

Space group: Pm-3m
Polymorph energy (0 for the lowest one): 0 meV/atom
Calculated volume: 134.22 Å³ per cell
Uncorrected formation energy: 0.236 eV/atom
Calculated total energy: -20.44 eV/cell
Fermi-level density of states: 2.84 states/eV/cell



Entry 13:
# CuRhO4

A relaxed structure of CuRhO4 (PBE, the Alexandria database).

a = 5.453 Å, b = 5.453 Å, c = 5.453 Å
α = 108.97°, β = 108.97°, γ = 110.47°
Atoms (fractional coordinates):
O  0.251  0.948  0.697
O  0.304  0.501  0.803
O  0.192  0.996  0.196
O  0.698  0.501  0.197
O  0.746  0.050  0.304
O  0.800  0.996  0.804
O  0.746  0.442  0.696
O  0.251  0.554  0.303
Rh  0.748  0.748  0.000
Rh  0.498  0.998  0.500
Cu  0.008  0.508  0.500
Cu  0.258  0.258  0.000

Space group: I4_1md
Polymorph energy (0 for the lowest one): 0 meV/atom
Calculated volume: 124.81 Å³ per cell
Uncorrected formation energy: -0.477 eV/atom
Calculated total energy: -68.29 eV/cell
Fermi-level density of states: 8.04 states/eV/cell



Entry 14:
# Gd2ScTl

A relaxed structure of Gd2ScTl (PBE, the Alexandria database).

a = 4.089 Å, b = 4.089 Å, c = 6.727 Å
α = 90.00°, β = 90.00°, γ = 90.00°
Site moments in Bohr magnetons follow the coordinates.
Atoms (fractional coordinates):
Tl  0.500  0.500  0.000  0.00
Sc  0.500  0.500  0.500  0.20
Gd  0.000  0.000  0.247  7.21
Gd  0.000  0.000  0.753  7.21

Space group: P4/mmm
Energy of formation: -0.1490 eV per atom
Polymorph energy (0 for the lowest one): 53 meV/atom
Calculated volume: 112.49 Å³ per cell
Calculated total energy: -37.46 eV/cell
Fermi-level density of states: 4.67 states/eV/cell